[1]
Density functional theory data (PBE) for crystalline RbGaTe2 at its relaxed geometry.

SG	No. 166
formation energy from raw total energies	-0.240	eV per atom

a b c (Å): 4.2071 4.2071 29.9651
angles (deg): 90.00 90.00 120.00
Closest atoms and distances in Å follow each position.
Fractional positions:
Rb 0.0000 0.0000 0.0000  2 Te 3.43
Rb 0.3333 0.6667 0.6667  2 Te 3.43
Rb 0.6667 0.3333 0.3333  2 Te 3.43
Ga 0.0000 0.0000 0.5000  6 Te 2.89
Ga 0.3333 0.6667 0.1667  6 Te 2.89
Ga 0.6667 0.3333 0.8333  6 Te 2.89
Te 0.0000 0.0000 0.1144  3 Ga 2.89
Te 0.0000 0.0000 0.8856  3 Ga 2.89
Te 0.3333 0.6667 0.5523  3 Ga 2.89
Te 0.3333 0.6667 0.7810  3 Ga 2.89
Te 0.6667 0.3333 0.2190  3 Ga 2.89
Te 0.6667 0.3333 0.4477  3 Ga 2.89

=====

[2]
Density functional theory data (PBE) for crystalline La5Pm2PrEr at its relaxed geometry.

SG	No. 140
DFT formation energy	2.399	eV per formula unit

a b c (Å): 10.0035 10.0035 10.0035
angles (deg): 124.89 124.89 81.71
Closest atoms and distances in Å follow each position.
Fractional positions:
La 0.0000 0.0000 0.0000  4 Pm 3.73, 2 Pr 3.78, 8 La 3.93
La 0.0693 0.5693 0.9165  1 Pm 3.15, 1 Er 3.20
La 0.1528 0.0693 0.5000  1 Pm 3.15, 1 Er 3.20
La 0.3472 0.8472 0.9165  1 Pm 3.15, 1 Er 3.20
La 0.4307 0.3472 0.5000  1 Pm 3.15, 1 Er 3.20
La 0.5000 0.5000 0.0000  4 Pm 3.73, 2 Pr 3.78, 8 La 3.93
La 0.5693 0.6528 0.5000  1 Pm 3.15, 1 Er 3.20
La 0.6528 0.1528 0.0835  1 Pm 3.15, 1 Er 3.20
La 0.8472 0.9307 0.5000  1 Pm 3.15, 1 Er 3.20
La 0.9307 0.4307 0.0835  1 Pm 3.15, 1 Er 3.20
Pm 0.1128 0.3872 0.5000  1 Pm 2.95, 2 La 3.15
Pm 0.3872 0.8872 0.2745  1 Pm 2.95, 2 La 3.15
Pm 0.6128 0.1128 0.7255  1 Pm 2.95, 2 La 3.15
Pm 0.8872 0.6128 0.5000  1 Pm 2.95, 2 La 3.15
Pr 0.2500 0.2500 0.0000  10 La 3.72-3.78
Pr 0.7500 0.7500 0.0000  10 La 3.72-3.78
Er 0.2500 0.7500 0.5000  4 La 3.20
Er 0.7500 0.2500 0.5000  4 La 3.20

=====

[3]
Density functional theory data (PBE) for crystalline CePmCuBi at its relaxed geometry.

SG	No. 216
DFT formation energy	-1.212	eV per formula unit

a b c (Å): 7.5662 7.5662 7.5662
angles (deg): 90.00 90.00 90.00
Closest atoms and distances in Å follow each position.
Fractional positions:
Ce 0.0000 0.0000 0.0000  4 Bi 3.28, 4 Cu 3.28
Ce 0.0000 0.5000 0.5000  4 Bi 3.28, 4 Cu 3.28
Ce 0.5000 0.0000 0.5000  4 Bi 3.28, 4 Cu 3.28
Ce 0.5000 0.5000 0.0000  4 Bi 3.28, 4 Cu 3.28
Pm 0.0000 0.0000 0.5000  4 Bi 3.28, 4 Cu 3.28
Pm 0.0000 0.5000 0.0000  4 Bi 3.28, 4 Cu 3.28
Pm 0.5000 0.0000 0.0000  4 Bi 3.28, 4 Cu 3.28
Pm 0.5000 0.5000 0.5000  4 Bi 3.28, 4 Cu 3.28
Cu 0.2500 0.2500 0.2500  4 Ce 3.28, 4 Pm 3.28
Cu 0.2500 0.7500 0.7500  4 Ce 3.28, 4 Pm 3.28
Cu 0.7500 0.2500 0.7500  4 Ce 3.28, 4 Pm 3.28
Cu 0.7500 0.7500 0.2500  4 Ce 3.28, 4 Pm 3.28
Bi 0.2500 0.2500 0.7500  4 Ce 3.28, 4 Pm 3.28
Bi 0.2500 0.7500 0.2500  4 Ce 3.28, 4 Pm 3.28
Bi 0.7500 0.2500 0.2500  4 Ce 3.28, 4 Pm 3.28
Bi 0.7500 0.7500 0.7500  4 Ce 3.28, 4 Pm 3.28

=====

[4]
Density functional theory data (PBE) for crystalline NaOs2Br8 at its relaxed geometry.

SG	No. 2
formation energy from raw total energies	-0.386	eV per atom

a b c (Å): 7.4465 7.5207 7.5689
angles (deg): 97.95 107.27 104.01
Closest atoms and distances in Å follow each position.
Fractional positions:
Na 0.0000 0.0000 0.0000  8 Br 3.11-3.20
Os 0.4516 0.8398 0.9654  1 Os 2.28, 4 Br 2.44-2.45
Os 0.5484 0.1602 0.0346  1 Os 2.28, 4 Br 2.44-2.45
Br 0.1311 0.7533 0.7105  1 Os 2.45
Br 0.2695 0.7602 0.1786  1 Os 2.44
Br 0.2757 0.2349 0.8140  1 Os 2.45
Br 0.4143 0.2413 0.2827  1 Os 2.45
Br 0.5857 0.7587 0.7173  1 Os 2.45
Br 0.7243 0.7651 0.1860  1 Os 2.45
Br 0.7305 0.2398 0.8214  1 Os 2.44
Br 0.8689 0.2467 0.2895  1 Os 2.45

=====

[5]
Density functional theory data (PBE) for crystalline NaBiPb4 at its relaxed geometry.

SG	No. 13
DFT formation energy	-0.267	eV per formula unit

a b c (Å): 6.4726 9.5572 7.1900
angles (deg): 90.00 120.78 90.00
Closest atoms and distances in Å follow each position.
Fractional positions:
Na 0.0000 0.2504 0.2500  2 Bi 3.39, 8 Pb 3.48-3.51
Na 0.0000 0.7496 0.7500  2 Bi 3.39, 8 Pb 3.48-3.51
Bi 0.5000 0.2500 0.7500  2 Na 3.39, 8 Pb 3.39-3.45
Bi 0.5000 0.7500 0.2500  2 Na 3.39, 8 Pb 3.39-3.45
Pb 0.2618 0.0657 0.9995  5 Pb 3.33-3.62, 2 Bi 3.40-3.45, 2 Na 3.48-3.51
Pb 0.2620 0.4338 0.9994  5 Pb 3.33-3.62, 2 Bi 3.39-3.45, 2 Na 3.48-3.51
Pb 0.2620 0.5662 0.4994  5 Pb 3.33-3.62, 2 Bi 3.39-3.45, 2 Na 3.48-3.51
Pb 0.2618 0.9343 0.4995  5 Pb 3.33-3.62, 2 Bi 3.40-3.45, 2 Na 3.48-3.51
Pb 0.7382 0.0657 0.5005  5 Pb 3.33-3.62, 2 Bi 3.40-3.45, 2 Na 3.48-3.51
Pb 0.7380 0.4338 0.5006  5 Pb 3.33-3.62, 2 Bi 3.39-3.45, 2 Na 3.48-3.51
Pb 0.7380 0.5662 0.0006  5 Pb 3.33-3.62, 2 Bi 3.39-3.45, 2 Na 3.48-3.51
Pb 0.7382 0.9343 0.0005  5 Pb 3.33-3.62, 2 Bi 3.40-3.45, 2 Na 3.48-3.51

=====

[6]
Density functional theory data (PBE) for crystalline LiNdTlPb at its relaxed geometry.

SG	No. 216
DFT formation energy	-1.341	eV per formula unit

a b c (Å): 7.5572 7.5572 7.5572
angles (deg): 90.00 90.00 90.00
Closest atoms and distances in Å follow each position.
Fractional positions:
Li 0.0000 0.0000 0.0000  4 Tl 3.27, 4 Pb 3.27
Li 0.0000 0.5000 0.5000  4 Tl 3.27, 4 Pb 3.27
Li 0.5000 0.0000 0.5000  4 Tl 3.27, 4 Pb 3.27
Li 0.5000 0.5000 0.0000  4 Tl 3.27, 4 Pb 3.27
Nd 0.0000 0.0000 0.5000  4 Tl 3.27, 4 Pb 3.27
Nd 0.0000 0.5000 0.0000  4 Tl 3.27, 4 Pb 3.27
Nd 0.5000 0.0000 0.0000  4 Tl 3.27, 4 Pb 3.27
Nd 0.5000 0.5000 0.5000  4 Pb 3.27, 4 Tl 3.27
Tl 0.2500 0.2500 0.2500  4 Li 3.27, 4 Nd 3.27
Tl 0.2500 0.7500 0.7500  4 Li 3.27, 4 Nd 3.27
Tl 0.7500 0.2500 0.7500  4 Li 3.27, 4 Nd 3.27
Tl 0.7500 0.7500 0.2500  4 Li 3.27, 4 Nd 3.27
Pb 0.2500 0.2500 0.7500  4 Li 3.27, 4 Nd 3.27
Pb 0.2500 0.7500 0.2500  4 Li 3.27, 4 Nd 3.27
Pb 0.7500 0.2500 0.2500  4 Li 3.27, 4 Nd 3.27
Pb 0.7500 0.7500 0.7500  4 Nd 3.27, 4 Li 3.27

=====

[7]
Density functional theory data (PBE) for crystalline NpRh2Pb at its relaxed geometry.

SG	No. 123
DFT formation energy	-0.464	eV per formula unit

a b c (Å): 4.7477 4.7477 3.4670
angles (deg): 90.00 90.00 90.00
Closest atoms and distances in Å follow each position.
Fractional positions:
Np 0.0000 0.0000 0.0000  8 Rh 2.94
Rh 0.0000 0.5000 0.5000  4 Pb 2.94, 4 Np 2.94
Rh 0.5000 0.0000 0.5000  4 Pb 2.94, 4 Np 2.94
Pb 0.5000 0.5000 0.0000  8 Rh 2.94

=====

[8]
Density functional theory data (PBE) for crystalline Cs2Tl2Cl at its relaxed geometry.

SG	No. 139
formation energy from raw total energies	-0.764	eV per atom

a b c (Å): 4.4518 4.4518 22.1564
angles (deg): 90.00 90.00 90.00
Closest atoms and distances in Å follow each position.
Fractional positions:
Cs 0.0000 0.0000 0.0898  4 Cl 3.72, 1 Cs 3.98
Cs 0.0000 0.0000 0.9102  4 Cl 3.72, 1 Cs 3.98
Cs 0.5000 0.5000 0.4102  4 Cl 3.72, 1 Cs 3.98
Cs 0.5000 0.5000 0.5898  4 Cl 3.72, 1 Cs 3.98
Tl 0.0000 0.5000 0.2500  4 Tl 3.15
Tl 0.0000 0.5000 0.7500  4 Tl 3.15
Tl 0.5000 0.0000 0.2500  4 Tl 3.15
Tl 0.5000 0.0000 0.7500  4 Tl 3.15
Cl 0.0000 0.0000 0.5000  8 Cs 3.72
Cl 0.5000 0.5000 0.0000  8 Cs 3.72

=====

[9]
Density functional theory data (PBE) for crystalline UAl5Ag at its relaxed geometry.

SG	No. 123
DFT formation energy	-0.441	eV per formula unit

a b c (Å): 4.3477 4.3477 7.0826
angles (deg): 90.00 90.00 90.00
Closest atoms and distances in Å follow each position.
Fractional positions:
U 0.0000 0.0000 0.0000  12 Al 2.97-3.07
Al 0.0000 0.5000 0.2852  2 Ag 2.65, 2 Al 2.97, 2 U 2.97
Al 0.0000 0.5000 0.7148  2 Ag 2.65, 2 U 2.97, 2 Al 2.97
Al 0.5000 0.0000 0.2852  2 Ag 2.65, 2 Al 2.97, 2 U 2.97
Al 0.5000 0.0000 0.7148  2 Ag 2.65, 2 U 2.97, 2 Al 2.97
Al 0.5000 0.5000 0.0000  8 Al 2.97, 4 U 3.07
Ag 0.0000 0.0000 0.5000  8 Al 2.65

=====

[10]
Density functional theory data (PBE) for crystalline TaSbIr at its relaxed geometry.

SG	No. 187
formation energy from raw total energies	-0.018	eV per atom

a b c (Å): 4.5649 4.5649 2.9595
angles (deg): 90.00 90.00 120.00
Closest atoms and distances in Å follow each position.
Fractional positions:
Ta 0.0000 0.0000 0.0000  2 Ta 2.96, 6 Ir 3.02, 6 Sb 3.02
Sb 0.6667 0.3333 0.5000  3 Ir 2.64
Ir 0.3333 0.6667 0.5000  3 Sb 2.64

=====

[11]
Density functional theory data (PBE) for crystalline Y5Ru2O12 at its relaxed geometry.

SG	No. 12
formation energy from raw total energies	-2.694	eV per atom

a b c (Å): 6.8602 6.8602 7.4100
angles (deg): 105.82 105.82 50.42
Closest atoms and distances in Å follow each position.
Fractional positions:
Y 0.0000 0.0000 0.0000  6 O 2.27-2.33
Y 0.3030 0.3030 0.1398  7 O 2.30-2.42
Y 0.3106 0.3106 0.6723  7 O 2.30-2.45
Y 0.6894 0.6894 0.3277  7 O 2.30-2.45
Y 0.6970 0.6970 0.8602  7 O 2.30-2.42
Ru 0.2357 0.7643 0.5000  6 O 1.95-2.06
Ru 0.7643 0.2357 0.5000  6 O 1.95-2.06
O 0.0002 0.0002 0.3060  2 Ru 1.99
O 0.9998 0.9998 0.6940  2 Ru 1.99
O 0.0941 0.5768 0.4167  1 Ru 1.95
O 0.0975 0.5956 0.9255  4 Y 2.30-2.33
O 0.4044 0.9025 0.0745  4 Y 2.30-2.33
O 0.4232 0.9059 0.5833  1 Ru 1.95
O 0.4995 0.4995 0.3165  2 Ru 2.06
O 0.5005 0.5005 0.6835  2 Ru 2.06
O 0.5768 0.0941 0.4167  1 Ru 1.95
O 0.5956 0.0975 0.9255  4 Y 2.30-2.33
O 0.9025 0.4044 0.0745  4 Y 2.30-2.33
O 0.9059 0.4232 0.5833  1 Ru 1.95

=====

[12]
Density functional theory data (PBE) for crystalline Cs2TbOsO6 at its relaxed geometry.

SG	No. 164
formation energy from raw total energies	-1.758	eV per atom

a b c (Å): 6.6900 6.6900 5.7952
angles (deg): 90.00 90.00 120.00
Closest atoms and distances in Å follow each position.
Fractional positions:
Cs 0.3333 0.6667 0.3569  9 O 3.08-3.39
Cs 0.6667 0.3333 0.6431  9 O 3.08-3.39
Tb 0.0000 0.0000 0.0000  6 O 2.30
Os 0.0000 0.0000 0.5000  6 O 1.92
O 0.1312 0.2623 0.7030  1 Os 1.92
O 0.1312 0.8688 0.7030  1 Os 1.92
O 0.2623 0.1312 0.2970  1 Os 1.92
O 0.7377 0.8688 0.7030  1 Os 1.92
O 0.8688 0.1312 0.2970  1 Os 1.92
O 0.8688 0.7377 0.2970  1 Os 1.92